{"formula": "MgSe2Cl", "functional": "PBE-GGA", "state": "optimized geometry", "lattice_angstrom": [[2.434, -4.434, 0.000], [2.434, 4.434, 0.000], [0.000, 0.000, 4.814]], "species": ["Mg", "Se", "Se", "Cl"], "frac_coords": [[0.000, 0.000, 0.000], [0.000, 0.500, 0.500], [0.500, 0.000, 0.500], [0.500, 0.500, 0.000]], "spacegroup": "Cmmm", "energy_ev_per_atom": -2.951, "e_form_raw_mev_per_atom": -349}



{"formula": "MgSeCl2", "functional": "PBE-GGA", "state": "optimized geometry", "lattice_angstrom": [[4.529, 0.000, 0.000], [0.000, 4.546, 0.000], [0.000, 0.000, 4.872]], "species": ["Mg", "Se", "Cl", "Cl"], "frac_coords": [[0.000, 0.000, 0.000], [0.500, 0.500, 0.975], [0.000, 0.000, 0.499], [0.500, 0.500, 0.527]], "spacegroup": "Pmm2", "energy_ev_per_atom": -2.889, "e_form_raw_mev_per_atom": -696}



{"formula": "MgSe3Cl", "functional": "PBE-GGA", "state": "optimized geometry", "lattice_angstrom": [[4.991, 0.000, 0.000], [0.000, 4.991, 0.000], [0.000, 0.000, 4.991]], "species": ["Mg", "Se", "Se", "Se", "Cl"], "frac_coords": [[0.000, 0.000, 0.000], [0.000, 0.500, 0.500], [0.500, 0.000, 0.500], [0.500, 0.500, 0.000], [0.500, 0.500, 0.500]], "spacegroup": "Pm-3m", "energy_ev_per_atom": -2.293, "e_form_raw_mev_per_atom": 486}



{"formula": "MgSe2Cl", "functional": "PBE-GGA", "state": "optimized geometry", "lattice_angstrom": [[2.089, 1.206, 7.408], [-2.089, 1.206, 7.408], [0.000, -2.412, 7.408]], "species": ["Mg", "Se", "Se", "Cl"], "frac_coords": [[0.000, 0.000, 0.000], [0.390, 0.390, 0.390], [0.610, 0.610, 0.610], [0.500, 0.500, 0.500]], "spacegroup": "R-3m", "energy_ev_per_atom": -3.011, "e_form_raw_mev_per_atom": -409}



{"formula": "MgSe2Cl", "functional": "PBE-GGA", "state": "optimized geometry", "lattice_angstrom": [[-1.704, 3.610, 4.421], [1.704, -3.610, 4.421], [1.704, 3.610, -4.421]], "species": ["Mg", "Se", "Se", "Cl"], "frac_coords": [[0.000, 0.000, 0.000], [0.545, 0.545, 0.000], [0.761, 0.261, 0.500], [0.181, 0.681, 0.500]], "spacegroup": "Imm2", "energy_ev_per_atom": -3.084, "e_form_raw_mev_per_atom": -481}



{"formula": "MgSe2Cl", "functional": "PBE-GGA", "state": "optimized geometry", "lattice_angstrom": [[5.953, -1.686, 0.000], [5.953, 1.686, 0.000], [-0.966, 0.000, 5.417]], "species": ["Mg", "Se", "Se", "Cl"], "frac_coords": [[0.000, 0.000, 0.000], [0.353, 0.353, 0.685], [0.490, 0.490, 0.435], [0.649, 0.649, 0.051]], "spacegroup": "Cm", "energy_ev_per_atom": -3.376, "e_form_raw_mev_per_atom": -773}



Table of E above lowest polymorph (meV per atom), in record order: 459 283 198 399 326 34